Record 1
Below is a relaxed SbTe2Rh crystal, with properties calculated at the PBE-GGA level.

a b c (Å): 6.7629 6.7629 6.7629
angles (deg): 150.41 138.75 51.58
Last column: nearest neighbours and their distance in Å.
Atoms (fractional coordinates):
Sb  0.6736  0.1736  0.5000  2 Rh 2.75
Te  0.0075  0.0075  0.0000  4 Rh 2.94, 2 Sb 3.12, 2 Te 3.29
Te  0.3211  0.8211  0.5000  2 Rh 2.76
Rh  0.4978  0.4978  0.0000  2 Sb 2.75, 6 Te 2.76-2.94

Values from the calculation:
- Energy relative to the elements, uncorrected: -0.0358 eV/atom
- DFT total energy: -4.48 eV per atom
- Crystal system: orthorhombic

---

Record 2
Below is a relaxed Th4NiTe2Os crystal, with properties calculated at the PBE-GGA level.

a b c (Å): 4.2284 7.1201 8.0390
angles (deg): 107.38 90.00 90.00
Last column: nearest neighbours and their distance in Å.
Atoms (fractional coordinates):
Th  0.5000  0.2366  0.1986  1 Os 2.80, 2 Ni 2.87
Th  0.5000  0.7634  0.8014  1 Os 2.80, 2 Ni 2.87
Th  0.0000  0.2641  0.7998  1 Ni 2.82, 2 Os 2.88
Th  0.0000  0.7359  0.2002  1 Ni 2.82, 2 Os 2.88
Ni  0.0000  0.0000  0.0000  6 Th 2.82-2.87
Te  0.5000  0.0000  0.5000  6 Th 3.33-3.34
Te  0.0000  0.5000  0.5000  6 Th 3.32-3.34
Os  0.5000  0.5000  0.0000  6 Th 2.80-2.88

Values from the calculation:
- Energy relative to the elements, uncorrected: -0.8037 eV/atom
- DFT total energy: -7.43 eV per atom
- Crystal system: monoclinic

---

Question: Which of these has the lowest energy relative to the elements, uncorrected?
Answer: Th4NiTe2Os

---

Question: The highest DFT total energy belongs to which entry?
Answer: SbTe2Rh

---

Question: DFT total energy of number 1 (SbTe2Rh)?
Answer: -4.48 eV per atom